{"formula": "LaYTm4", "functional": "PBE", "state": "relaxed", "lattice": [[-3.560, 0.593, 5.296], [8.700, -1.558, 1.757], [-1.281, 7.745, -3.472]], "species": ["La", "La", "Y", "Y", "Tm", "Tm", "Tm", "Tm", "Tm", "Tm", "Tm", "Tm"], "frac_coords": [[0.331, 0.581, 0.163], [0.669, 0.419, 0.837], [0.248, 0.998, 0.997], [0.752, 0.002, 0.003], [0.040, 0.155, 0.726], [0.743, 0.711, 0.608], [0.187, 0.571, 0.726], [0.365, 0.898, 0.608], [0.635, 0.102, 0.392], [0.813, 0.429, 0.274], [0.257, 0.289, 0.392], [0.960, 0.845, 0.274]], "formation_enthalpy_0k_ev_per_atom": 0.147, "dft_energy_ha_per_atom": -0.174, "sg": "No. 15"}